Entry 1:
# ZrNiAs3

A relaxed structure of ZrNiAs3 (PBE, Alexandria).

Computed properties:
Magnetization = 0.00 μB/f.u.
Energy of formation = 12.28 kJ per mole of atoms
Energy above the lowest structure with this stoichiometry = 0 meV/atom
Space-group type = No. 221

CIF file:
```
data_ZrNiAs3
_cell_length_a 4.603
_cell_length_b 4.603
_cell_length_c 4.603
_cell_angle_alpha 90.00
_cell_angle_beta 90.00
_cell_angle_gamma 90.00
_space_group_name_H-M_alt 'P 1'
_space_group_IT_number 1
_space_group_name_Hall 'P 1'
loop_
_atom_site_label
_atom_site_type_symbol
_atom_site_fract_x
_atom_site_fract_y
_atom_site_fract_z
_atom_site_occupancy
Ni1 Ni 0.000 0.000 0.000 1
As1 As 0.000 0.500 0.000 1
As2 As 0.000 0.000 0.500 1
As3 As 0.500 0.000 0.000 1
Zr1 Zr 0.500 0.500 0.500 1
```

=====

Entry 2:
# Zr4NiAs

A relaxed structure of Zr4NiAs (PBE, Alexandria).

Computed properties:
Magnetization = 0.00 μB/f.u.
Energy of formation = 42.86 kJ per mole of atoms
Space-group type = No. 216

CIF file:
```
data_Zr4NiAs
_cell_length_a 5.616
_cell_length_b 5.616
_cell_length_c 5.616
_cell_angle_alpha 60.00
_cell_angle_beta 60.00
_cell_angle_gamma 60.00
_space_group_name_H-M_alt 'P 1'
_space_group_IT_number 1
_space_group_name_Hall 'P 1'
loop_
_atom_site_label
_atom_site_type_symbol
_atom_site_fract_x
_atom_site_fract_y
_atom_site_fract_z
_atom_site_occupancy
Zr1 Zr 0.876 0.375 0.375 1
Zr2 Zr 0.375 0.375 0.876 1
Zr3 Zr 0.375 0.876 0.375 1
Zr4 Zr 0.375 0.375 0.375 1
Ni1 Ni 0.000 0.000 0.000 1
As1 As 0.750 0.750 0.750 1
```

=====

Entry 3:
# Zr2Ni2As3

A relaxed structure of Zr2Ni2As3 (PBE, Alexandria).

Computed properties:
Magnetization = 0.00 μB/f.u.
Energy of formation = -76.68 kJ per mole of atoms
Space-group type = No. 12

CIF file:
```
data_Zr2Ni2As3
_cell_length_a 3.811
_cell_length_b 7.192
_cell_length_c 9.258
_cell_angle_alpha 80.58
_cell_angle_beta 78.12
_cell_angle_gamma 74.64
_space_group_name_H-M_alt 'P 1'
_space_group_IT_number 1
_space_group_name_Hall 'P 1'
loop_
_atom_site_label
_atom_site_type_symbol
_atom_site_fract_x
_atom_site_fract_y
_atom_site_fract_z
_atom_site_occupancy
Zr1 Zr 0.260 0.132 0.348 1
Zr2 Zr 0.740 0.868 0.652 1
Zr3 Zr 0.411 0.240 0.938 1
Zr4 Zr 0.589 0.760 0.062 1
Ni1 Ni 0.050 0.214 0.686 1
Ni2 Ni 0.950 0.786 0.314 1
Ni3 Ni 0.403 0.518 0.676 1
Ni4 Ni 0.597 0.482 0.324 1
As1 As 0.103 0.935 0.859 1
As2 As 0.897 0.065 0.141 1
As3 As 0.169 0.488 0.173 1
As4 As 0.831 0.512 0.827 1
As5 As 0.395 0.745 0.465 1
As6 As 0.605 0.255 0.535 1
```

=====

Entry 4:
# ZrNi5As3

A relaxed structure of ZrNi5As3 (PBE, Alexandria).

Computed properties:
Magnetization = 0.00 μB/f.u.
Energy of formation = -39.12 kJ per mole of atoms
Space-group type = No. 63

CIF file:
```
data_ZrNi5As3
_cell_length_a 3.764
_cell_length_b 6.669
_cell_length_c 10.557
_cell_angle_alpha 90.00
_cell_angle_beta 90.00
_cell_angle_gamma 106.39
_space_group_name_H-M_alt 'P 1'
_space_group_IT_number 1
_space_group_name_Hall 'P 1'
loop_
_atom_site_label
_atom_site_type_symbol
_atom_site_fract_x
_atom_site_fract_y
_atom_site_fract_z
_atom_site_occupancy
Zr1 Zr 0.777 0.555 0.750 1
Zr2 Zr 0.223 0.445 0.250 1
Ni1 Ni 0.804 0.609 0.457 1
Ni2 Ni 0.196 0.391 0.957 1
Ni3 Ni 0.000 0.000 0.500 1
Ni4 Ni 0.000 0.000 0.000 1
Ni5 Ni 0.428 0.856 0.130 1
Ni6 Ni 0.572 0.144 0.870 1
Ni7 Ni 0.572 0.144 0.630 1
Ni8 Ni 0.804 0.609 0.043 1
Ni9 Ni 0.196 0.391 0.543 1
Ni10 Ni 0.428 0.856 0.370 1
As1 As 0.381 0.762 0.915 1
As2 As 0.890 0.779 0.250 1
As3 As 0.381 0.762 0.585 1
As4 As 0.619 0.238 0.415 1
As5 As 0.110 0.221 0.750 1
As6 As 0.619 0.238 0.085 1
```